A plane-wave DFT calculation with GGA-PBE was carried out for an optimized crystal structure of RbAg2SeBr.

Computed properties:
The space-group type is P4/mmm. The uncorrected formation energy comes out at -0.563 eV per atom.

a = 4.9792 Å, b = 4.9792 Å, c = 7.1309 Å
α = 90.00°, β = 90.00°, γ = 90.00°
Last column: nearest neighbours and their distance in Å.
Sites, in units of the cell vectors:
Rb1 0.0000 0.0000 0.0000  4 Br 3.52, 2 Se 3.57
Ag1 0.0000 0.5000 0.5000  2 Se 2.49
Ag2 0.5000 0.0000 0.5000  2 Se 2.49
Se1 0.0000 0.0000 0.5000  4 Ag 2.49
Br1 0.5000 0.5000 0.0000  4 Rb 3.52

A plane-wave DFT calculation with GGA-PBE was carried out for an optimized crystal structure of SrZrTe.

Computed properties:
The space-group type is P-6m2. The uncorrected formation energy comes out at -0.290 eV per atom. The value obtained for the density of states at the Fermi level is 3.5 states/eV/cell.

a = 5.0119 Å, b = 5.0119 Å, c = 4.2931 Å
α = 90.00°, β = 90.00°, γ = 120.00°
Last column: nearest neighbours and their distance in Å.
Sites, in units of the cell vectors:
Sr1 0.0000 0.0000 0.0000  6 Zr 3.60, 6 Te 3.60
Zr1 0.3333 0.6667 0.5000  3 Te 2.89
Te1 0.6667 0.3333 0.5000  3 Zr 2.89